# 1
A plane-wave DFT calculation with PBE was carried out for a relaxed structure of TaGaPS2.

Results
- D(E_F) (states/eV/f.u.) = 5.144
- ΔE_f (raw) (eV per formula unit) = 4.32
- crystal system = tetragonal
- energy above the most stable polymorph in this dataset (eV per atom) = 1.0371
- uncorrected energy (eV per atom) = -4.845

a = 4.5374 Å, b = 4.5374 Å, c = 4.5955 Å
α = 90.00°, β = 90.00°, γ = 90.00°
Closest atoms and distances in Å follow each position.
Atoms (fractional coordinates):
Ta 0.0000 0.0000 0.0000  4 P 3.21, 8 S 3.23
Ga 0.5000 0.5000 0.5000  4 S 2.27, 2 P 2.30
P 0.5000 0.5000 0.0000  2 Ga 2.30
S 0.0000 0.5000 0.5000  2 Ga 2.27
S 0.5000 0.0000 0.5000  2 Ga 2.27

***

# 2
A plane-wave DFT calculation with PBE was carried out for a relaxed structure of Th6C3N.

Results
- D(E_F) (states/eV/f.u.) = 9.552
- ΔE_f (raw) (eV per formula unit) = -4.36
- crystal system = trigonal
- uncorrected energy (eV per atom) = -8.487

a = 7.1187 Å, b = 7.1187 Å, c = 7.1187 Å
α = 53.29°, β = 53.29°, γ = 53.29°
Closest atoms and distances in Å follow each position.
Atoms (fractional coordinates):
Th 0.0014 0.3246 0.6740  1 N 2.59, 3 C 2.61
Th 0.1750 0.8222 0.5007  3 C 2.61, 1 N 2.61
Th 0.3246 0.6740 0.0014  1 N 2.59, 3 C 2.61
Th 0.5007 0.1750 0.8222  3 C 2.61, 1 N 2.61
Th 0.6740 0.0014 0.3246  1 N 2.59, 3 C 2.61
Th 0.8222 0.5007 0.1750  3 C 2.61, 1 N 2.61
C 0.0866 0.0866 0.0866  6 Th 2.61
C 0.5863 0.5863 0.5863  6 Th 2.61
C 0.9131 0.9131 0.9131  6 Th 2.61
N 0.4122 0.4122 0.4122  6 Th 2.59-2.61